First-principles (PBE) data for a geometry-optimized Mo2AsW structure, as listed in Alexandria.

abc: 2.966 4.188 5.120
angles: 90.00 90.20 90.00
Positions (direct):
Mo1 0.000 0.000 0.000
Mo2 0.496 0.500 0.741
As1 0.999 0.000 0.500
W1 0.508 0.500 0.241

E ... -9.619 eV per atom
Magnetic moment ... 0.00 Bohr magnetons per cell
Fermi-level density of states ... 2.5 states/eV/cell
E_form ... 0.197 eV per atom
ρ ... 11.77 g/cm³
Calculated volume ... 15.90 A^3/atom


First-principles (PBE) data for a geometry-optimized CaDyF4 structure, as listed in Alexandria.

abc: 6.391 6.391 6.391
angles: 110.93 110.93 106.59
Positions (direct):
Ca1 0.000 0.000 0.000
Ca2 0.750 0.250 0.500
Dy1 0.265 0.765 0.500
Dy2 0.515 0.515 0.000
F1 0.187 0.499 0.688
F2 0.249 0.062 0.812
F3 0.249 0.437 0.188
F4 0.325 0.012 0.313
F5 0.699 0.012 0.687
F6 0.762 0.575 0.813
F7 0.762 0.949 0.187
F8 0.812 0.499 0.312

E ... -5.920 eV per atom
Magnetic moment ... 1.49 Bohr magnetons per cell
Fermi-level density of states ... 3.9 states/eV/cell
ρ ... 4.61 g/cm³
Calculated volume ... 16.72 A^3/atom


First-principles (PBE) data for a geometry-optimized MgTlO2F structure, as listed in Alexandria.

abc: 4.073 4.073 3.770
angles: 90.00 90.00 90.00
Positions (direct):
Mg1 0.000 0.000 0.000
Tl1 0.500 0.500 0.500
O1 0.000 0.500 0.000
O2 0.500 0.000 0.000
F1 0.000 0.000 0.500

E ... -4.655 eV per atom
Magnetic moment ... 0.34 Bohr magnetons per cell
Fermi-level density of states ... 1.6 states/eV/cell
ρ ... 7.42 g/cm³
Calculated volume ... 12.51 A^3/atom